Record 1
First-principles (PBE) data for an optimized crystal structure of Ba2GaB, as listed in Alexandria.

Values from the calculation:
polymorph energy (0 for the lowest one) = 338 meV per atom
energy of formation from the pure elements = 0.46 eV/atom

a b c (Å): 7.8425 7.8425 7.8425
angles (deg): 90.00 90.00 90.00
Space group Fm-3m (No. 225)
Inequivalent atoms, fractional coordinates:
Ba  0.2500  0.2500  0.2500
Ga  0.0000  0.0000  0.0000
B  0.0000  0.0000  0.5000

=====

Record 2
First-principles (PBE) data for an optimized crystal structure of Rb2ThU3O12, as listed in Alexandria.

Values from the calculation:
formation energy from raw total energies = -5298 kJ/mol of formula units

a b c (Å): 8.0933 8.0933 19.5126
angles (deg): 90.00 90.00 120.00
Space group R-3m (No. 166, hexagonal axes)
Inequivalent atoms, fractional coordinates:
Rb  0.0000  0.0000  0.1542
Th  0.0000  0.0000  0.5000
U  0.0000  0.5000  0.0000
O  0.0557  0.5279  0.1021
O  0.0881  0.5441  0.3497

=====

Record 3
First-principles (PBE) data for an optimized crystal structure of DyTe2PbO8, as listed in Alexandria.

Values from the calculation:
formation energy from raw total energies = -1601 kJ/mol of formula units

a b c (Å): 6.0708 6.0708 7.2407
angles (deg): 90.00 90.00 120.00
Space group P-3 (No. 147)
Inequivalent atoms, fractional coordinates:
Dy  0.0000  0.0000  0.0000
Te  0.3333  0.6667  0.2814
Pb  0.0000  0.0000  0.5000
O  0.1583  0.3183  0.2089
O  0.3333  0.6667  0.5341

=====

Record 4
First-principles (PBE) data for an optimized crystal structure of RbAsRh2Se, as listed in Alexandria.

Values from the calculation:
formation energy from raw total energies = 106 kJ/mol of formula units

a b c (Å): 4.7010 4.7010 5.4557
angles (deg): 90.00 90.00 90.00
Space group P4/mmm (No. 123)
Inequivalent atoms, fractional coordinates:
Rb  0.0000  0.0000  0.0000
As  0.5000  0.5000  0.5000
Rh  0.0000  0.5000  0.5000
Se  0.5000  0.5000  0.0000

=====

Record 5
First-principles (PBE) data for an optimized crystal structure of Y4Tl2Bi, as listed in Alexandria.

Values from the calculation:
polymorph energy (0 for the lowest one) = 0 meV per atom
energy of formation from the pure elements = -0.49 eV/atom

a b c (Å): 9.3835 9.3835 9.4070
angles (deg): 90.00 90.00 90.00
Space group I-42d (No. 122)
Inequivalent atoms, fractional coordinates:
Y  0.0725  0.1781  0.3075
Tl  0.1251  0.2500  0.6250
Bi  0.0000  0.0000  0.0000

=====

Record 6
First-principles (PBE) data for an optimized crystal structure of CaCeCd4, as listed in Alexandria.

Values from the calculation:
polymorph energy (0 for the lowest one) = 0 meV per atom
energy of formation from the pure elements = -0.27 eV/atom

a b c (Å): 5.0293 7.2904 8.6005
angles (deg): 90.00 90.00 90.00
Space group Imm2 (No. 44)
Inequivalent atoms, fractional coordinates:
Ca  0.0000  0.0000  0.0000
Ce  0.0000  0.5000  0.0025
Cd  0.0000  0.2360  0.3338
Cd  0.0000  0.2393  0.6684

=====

Record 7
First-principles (PBE) data for an optimized crystal structure of Sr2TlRe, as listed in Alexandria.

Values from the calculation:
polymorph energy (0 for the lowest one) = 51 meV per atom
energy of formation from the pure elements = 0.66 eV/atom

a b c (Å): 3.5734 3.5734 9.1103
angles (deg): 90.00 90.00 90.00
Space group P4/mmm (No. 123)
Inequivalent atoms, fractional coordinates:
Sr  0.0000  0.0000  0.2193
Tl  0.5000  0.5000  0.5000
Re  0.5000  0.5000  0.0000

=====

Record 8
First-principles (PBE) data for an optimized crystal structure of CoHg2Cl, as listed in Alexandria.

Values from the calculation:
polymorph energy (0 for the lowest one) = 510 meV per atom
formation energy from raw total energies = 190 kJ/mol of formula units

a b c (Å): 4.3285 4.3285 8.8859
angles (deg): 90.00 90.00 90.00
Space group I-4m2 (No. 119)
Inequivalent atoms, fractional coordinates:
Co  0.0000  0.0000  0.0000
Hg  0.0000  0.0000  0.5000
Hg  0.0000  0.5000  0.7500
Cl  0.0000  0.5000  0.2500